Record 1
Compound: Ho2CuB4O10
Source: the Alexandria database
Functional: GGA-PBEsol
Structure: relaxed

abc: 4.5461 7.2020 9.2762
angles: 90.00 90.52 90.00
Fractional coordinates of all 34 atoms:
Ho 0.0026 0.1046 0.1658
Ho 0.0026 0.3954 0.6658
Ho 0.9974 0.6046 0.3342
Ho 0.9974 0.8954 0.8342
Cu 0.0000 0.0000 0.5000
Cu 0.0000 0.5000 0.0000
B 0.4630 0.7314 0.5808
B 0.4630 0.7686 0.0808
B 0.4698 0.0980 0.6616
B 0.4698 0.4020 0.1616
B 0.5302 0.5980 0.8384
B 0.5302 0.9020 0.3384
B 0.5370 0.2314 0.9192
B 0.5370 0.2686 0.4192
O 0.2141 0.5901 0.8344
O 0.2141 0.9099 0.3344
O 0.2311 0.6089 0.5417
O 0.2311 0.8911 0.0417
O 0.3222 0.5888 0.1376
O 0.3222 0.9112 0.6376
O 0.3382 0.1651 0.7999
O 0.3382 0.3349 0.2999
O 0.3543 0.2219 0.5466
O 0.3543 0.2781 0.0466
O 0.6457 0.7219 0.9534
O 0.6457 0.7781 0.4534
O 0.6618 0.6651 0.7001
O 0.6618 0.8349 0.2001
O 0.6778 0.0888 0.3624
O 0.6778 0.4112 0.8624
O 0.7689 0.1089 0.9583
O 0.7689 0.3911 0.4583
O 0.7859 0.0901 0.6656
O 0.7859 0.4099 0.1656

## Properties
Energy relative to the elements, uncorrected ... -259.1 kJ per mole of atoms
Theoretical density ... 6.525 g cm⁻³
SG ... P2_1/c, No. 14

Record 2
Compound: TaAgP2
Source: the Alexandria database
Functional: GGA-PBEsol
Structure: relaxed

abc: 10.1723 10.1723 10.1723
angles: 15.95 15.95 15.95
Fractional coordinates of all 4 atoms:
Ta 0.0000 0.0000 0.0000
Ag 0.7480 0.7480 0.7480
P 0.2645 0.2645 0.2645
P 0.4870 0.4870 0.4870

## Properties
Energy above the lowest structure with this stoichiometry ... 49.69 kJ per mole of atoms
Theoretical density ... 8.411 g cm⁻³
N(E_F) ... 2.131 states/eV/f.u.
Energy of formation from the pure elements ... 0.3073 eV per atom
SG ... R3m, No. 160

Record 3
Compound: Zr2CrFeOs
Source: the Alexandria database
Functional: GGA-PBEsol
Structure: relaxed

abc: 4.9947 4.9947 4.4427
angles: 90.00 90.00 90.00
Fractional coordinates of all 5 atoms:
Zr 0.0000 0.5000 0.0000
Zr 0.5000 0.0000 0.0000
Cr 0.0000 0.0000 0.5000
Fe 0.5000 0.5000 0.5000
Os 0.0000 0.0000 0.0000

## Properties
Theoretical density ... 7.199 g cm⁻³
N(E_F) ... 7.920 states/eV/f.u.
Energy of formation from the pure elements ... 1.1029 eV per atom
SG ... P4/mmm, No. 123

Record 4
Compound: YCu2BiN
Source: the Alexandria database
Functional: GGA-PBEsol
Structure: relaxed

abc: 4.2014 4.2014 4.6248
angles: 90.00 90.00 90.00
Fractional coordinates of all 5 atoms:
Y 0.0000 0.0000 0.0000
Cu 0.0000 0.5000 0.5000
Cu 0.5000 0.0000 0.5000
Bi 0.5000 0.5000 0.0000
N 0.0000 0.0000 0.5000

## Properties
Energy relative to the elements, uncorrected ... -24.2 kJ per mole of atoms
Theoretical density ... 8.929 g cm⁻³
N(E_F) ... 2.047 states/eV/f.u.
SG ... P4/mmm, No. 123

Record 5
Compound: Pr3Ge13Ir4
Source: the Alexandria database
Functional: GGA-PBEsol
Structure: relaxed

abc: 9.0454 9.0454 9.0454
angles: 90.00 90.00 90.00
Fractional coordinates of all 40 atoms:
Pr 0.0000 0.2500 0.5000
Pr 0.0000 0.7500 0.5000
Pr 0.2500 0.5000 0.0000
Pr 0.5000 0.0000 0.2500
Pr 0.5000 0.0000 0.7500
Pr 0.7500 0.5000 0.0000
Ge 0.0000 0.0000 0.0000
Ge 0.0000 0.3022 0.1453
Ge 0.0000 0.3022 0.8547
Ge 0.0000 0.6978 0.1453
Ge 0.0000 0.6978 0.8547
Ge 0.1453 0.0000 0.3022
Ge 0.1453 0.0000 0.6978
Ge 0.1978 0.5000 0.3547
Ge 0.1978 0.5000 0.6453
Ge 0.3022 0.1453 0.0000
Ge 0.3022 0.8547 0.0000
Ge 0.3547 0.1978 0.5000
Ge 0.3547 0.8022 0.5000
Ge 0.5000 0.3547 0.1978
Ge 0.5000 0.3547 0.8022
Ge 0.5000 0.5000 0.5000
Ge 0.5000 0.6453 0.1978
Ge 0.5000 0.6453 0.8022
Ge 0.6453 0.1978 0.5000
Ge 0.6453 0.8022 0.5000
Ge 0.6978 0.1453 0.0000
Ge 0.6978 0.8547 0.0000
Ge 0.8022 0.5000 0.3547
Ge 0.8022 0.5000 0.6453
Ge 0.8547 0.0000 0.3022
Ge 0.8547 0.0000 0.6978
Ir 0.2500 0.2500 0.2500
Ir 0.2500 0.2500 0.7500
Ir 0.2500 0.7500 0.2500
Ir 0.2500 0.7500 0.7500
Ir 0.7500 0.2500 0.2500
Ir 0.7500 0.2500 0.7500
Ir 0.7500 0.7500 0.2500
Ir 0.7500 0.7500 0.7500

## Properties
Theoretical density ... 9.585 g cm⁻³
N(E_F) ... 7.267 states/eV/f.u.
Energy of formation from the pure elements ... -0.5565 eV per atom
SG ... Pm-3n, No. 223

Record 6
Compound: LiNiPt2Rh
Source: the Alexandria database
Functional: GGA-PBEsol
Structure: relaxed

abc: 4.1194 4.1194 3.8679
angles: 90.00 90.00 90.00
Fractional coordinates of all 5 atoms:
Li 0.0000 0.0000 0.0000
Ni 0.0000 0.0000 0.5000
Pt 0.0000 0.5000 0.0000
Pt 0.5000 0.0000 0.0000
Rh 0.5000 0.5000 0.5000

## Properties
Theoretical density ... 14.135 g cm⁻³
N(E_F) ... 7.850 states/eV/f.u.
Energy of formation from the pure elements ... 0.6633 eV per atom
SG ... P4/mmm, No. 123

Record 7
Compound: MoRh2Br
Source: the Alexandria database
Functional: GGA-PBEsol
Structure: relaxed

abc: 3.8808 3.8808 3.9851
angles: 90.00 90.00 90.00
Fractional coordinates of all 4 atoms:
Mo 0.0000 0.0000 0.0000
Rh 0.0000 0.5000 0.5000
Rh 0.5000 0.0000 0.5000
Br 0.5000 0.5000 0.0000

## Properties
Energy above the lowest structure with this stoichiometry ... 58.88 kJ per mole of atoms
Energy relative to the elements, uncorrected ... 79.5 kJ per mole of atoms
Theoretical density ... 10.559 g cm⁻³
N(E_F) ... 5.781 states/eV/f.u.
SG ... P4/mmm, No. 123

Record 8
Compound: DyMnSi
Source: the Alexandria database
Functional: GGA-PBEsol
Structure: relaxed

abc: 6.9328 4.1331 7.0887
angles: 90.00 90.00 90.00
Fractional coordinates of all 12 atoms:
Dy 0.0060 0.2500 0.1848
Dy 0.4940 0.7500 0.6848
Dy 0.5060 0.2500 0.3152
Dy 0.9940 0.7500 0.8152
Mn 0.1378 0.7500 0.4439
Mn 0.3622 0.2500 0.9439
Mn 0.6378 0.7500 0.0561
Mn 0.8622 0.2500 0.5561
Si 0.2033 0.2500 0.6135
Si 0.2967 0.7500 0.1135
Si 0.7033 0.2500 0.8865
Si 0.7967 0.7500 0.3865

## Properties
Energy relative to the elements, uncorrected ... -49.6 kJ per mole of atoms
Theoretical density ... 8.029 g cm⁻³
N(E_F) ... 2.460 states/eV/f.u.
SG ... Pnma, No. 62

Record 9
Compound: Hf2TlTeO
Source: the Alexandria database
Functional: GGA-PBEsol
Structure: relaxed

abc: 5.1870 5.1870 5.8528
angles: 90.00 90.00 90.00
Fractional coordinates of all 5 atoms:
Hf 0.0000 0.5000 0.0000
Hf 0.5000 0.0000 0.0000
Tl 0.0000 0.0000 0.5000
Te 0.0000 0.0000 0.0000
O 0.5000 0.5000 0.5000

## Properties
Energy relative to the elements, uncorrected ... 145.6 kJ per mole of atoms
Theoretical density ... 7.434 g cm⁻³
N(E_F) ... 7.410 states/eV/f.u.
SG ... P4/mmm, No. 123

Record 10
Compound: KBa2Sr
Source: the Alexandria database
Functional: GGA-PBEsol
Structure: relaxed

abc: 14.8360 14.8360 14.8360
angles: 16.82 16.82 16.82
Fractional coordinates of all 4 atoms:
K 0.0000 0.0000 0.0000
Ba 0.2459 0.2459 0.2459
Ba 0.7541 0.7541 0.7541
Sr 0.5000 0.5000 0.5000

## Properties
Energy above the lowest structure with this stoichiometry ... 0.00 kJ per mole of atoms
Theoretical density ... 2.795 g cm⁻³
N(E_F) ... 5.326 states/eV/f.u.
Energy of formation from the pure elements ... 0.0530 eV per atom
SG ... R-3m, No. 166

Record 11
Compound: GaAuSe2F
Source: the Alexandria database
Functional: GGA-PBEsol
Structure: relaxed

abc: 4.8214 4.8214 4.8387
angles: 90.00 90.00 90.00
Fractional coordinates of all 5 atoms:
Ga 0.0000 0.0000 0.0000
Au 0.0000 0.0000 0.5000
Se 0.0000 0.5000 0.0000
Se 0.5000 0.0000 0.0000
F 0.5000 0.5000 0.5000

## Properties
Energy relative to the elements, uncorrected ... 34.8 kJ per mole of atoms
Theoretical density ... 6.549 g cm⁻³
N(E_F) ... 6.979 states/eV/f.u.
SG ... P4/mmm, No. 123

Record 12
Compound: BaCd2Cl
Source: the Alexandria database
Functional: GGA-PBEsol
Structure: relaxed

abc: 5.6559 5.6559 5.6559
angles: 126.29 126.29 79.41
Fractional coordinates of all 4 atoms:
Ba 0.0000 0.0000 0.0000
Cd 0.5000 0.5000 0.0000
Cd 0.7500 0.2500 0.5000
Cl 0.2500 0.7500 0.5000

## Properties
Energy relative to the elements, uncorrected ... -64.2 kJ per mole of atoms
Theoretical density ... 5.811 g cm⁻³
N(E_F) ... 3.034 states/eV/f.u.
SG ... I-4m2, No. 119

Record 13
Compound: Cr2ReHg
Source: the Alexandria database
Functional: GGA-PBEsol
Structure: relaxed

abc: 2.9991 2.9991 6.5066
angles: 90.00 90.00 90.00
Fractional coordinates of all 4 atoms:
Cr 0.0000 0.0000 0.2132
Cr 0.0000 0.0000 0.7868
Re 0.5000 0.5000 0.0000
Hg 0.5000 0.5000 0.5000

## Properties
Theoretical density ... 13.925 g cm⁻³
N(E_F) ... 2.485 states/eV/f.u.
Energy of formation from the pure elements ... 0.3670 eV per atom
SG ... P4/mmm, No. 123

Record 14
Compound: Bi3OsS
Source: the Alexandria database
Functional: GGA-PBEsol
Structure: relaxed

abc: 5.2197 5.2197 5.2197
angles: 90.00 90.00 90.00
Fractional coordinates of all 5 atoms:
Bi 0.0000 0.0000 0.5000
Bi 0.0000 0.5000 0.0000
Bi 0.5000 0.0000 0.0000
Os 0.0000 0.0000 0.0000
S 0.5000 0.5000 0.5000

## Properties
Energy relative to the elements, uncorrected ... 76.7 kJ per mole of atoms
Theoretical density ... 9.916 g cm⁻³
N(E_F) ... 5.002 states/eV/f.u.
SG ... Pm-3m, No. 221

Record 15
Compound: Mg3RhF
Source: the Alexandria database
Functional: GGA-PBEsol
Structure: relaxed

abc: 4.2076 4.2076 4.2076
angles: 90.00 90.00 90.00
Fractional coordinates of all 5 atoms:
Mg 0.0000 0.0000 0.5000
Mg 0.0000 0.5000 0.0000
Mg 0.5000 0.0000 0.0000
Rh 0.5000 0.5000 0.5000
F 0.0000 0.0000 0.0000

## Properties
Energy relative to the elements, uncorrected ... -94.0 kJ per mole of atoms
Theoretical density ... 4.343 g cm⁻³
N(E_F) ... 1.247 states/eV/f.u.
SG ... Pm-3m, No. 221

Record 16
Compound: Mg3Ti2O7
Source: the Alexandria database
Functional: GGA-PBEsol
Structure: relaxed

abc: 9.2320 9.2320 5.3184
angles: 90.00 90.00 32.27
Fractional coordinates of all 24 atoms:
Mg 0.0619 0.5497 0.3803
Mg 0.2427 0.7573 0.5000
Mg 0.4503 0.9381 0.3803
Mg 0.5497 0.0619 0.8803
Mg 0.7573 0.2427 0.0000
Mg 0.9381 0.4503 0.8803
Ti 0.1520 0.6365 0.9396
Ti 0.3635 0.8480 0.9396
Ti 0.6365 0.1520 0.4396
Ti 0.8480 0.3635 0.4396
O 0.0693 0.1938 0.1492
O 0.1362 0.8638 0.8923
O 0.1653 0.4223 0.0059
O 0.1938 0.0693 0.6492
O 0.3433 0.4977 0.2779
O 0.4223 0.1653 0.5059
O 0.4977 0.3433 0.7779
O 0.5023 0.6567 0.2779
O 0.5777 0.8347 0.0059
O 0.6567 0.5023 0.7779
O 0.8062 0.9307 0.1492
O 0.8347 0.5777 0.5059
O 0.8638 0.1362 0.3923
O 0.9307 0.8062 0.6492

## Properties
Energy relative to the elements, uncorrected ... -278.0 kJ per mole of atoms
Theoretical density ... 3.851 g cm⁻³
N(E_F) ... 0.000 states/eV/f.u.
SG ... Cmc2_1, No. 36

Record 17
Compound: Li2HgPd2
Source: the Alexandria database
Functional: GGA-PBEsol
Structure: relaxed

abc: 7.0837 7.0837 3.0014
angles: 90.00 90.00 90.00
Fractional coordinates of all 10 atoms:
Li 0.1627 0.3373 0.0000
Li 0.3373 0.8373 0.0000
Li 0.6627 0.1627 0.0000
Li 0.8373 0.6627 0.0000
Hg 0.0000 0.0000 0.5000
Hg 0.5000 0.5000 0.5000
Pd 0.1345 0.6345 0.5000
Pd 0.3655 0.1345 0.5000
Pd 0.6345 0.8655 0.5000
Pd 0.8655 0.3655 0.5000

## Properties
Theoretical density ... 9.423 g cm⁻³
N(E_F) ... 1.495 states/eV/f.u.
Energy of formation from the pure elements ... -0.3196 eV per atom
SG ... P4/mbm, No. 127

Record 18
Compound: Li4V5Ni3O16
Source: the Alexandria database
Functional: GGA-PBEsol
Structure: relaxed

abc: 5.7203 5.7203 9.4273
angles: 90.02 90.02 59.70
Fractional coordinates of all 28 atoms:
Li 0.0000 0.0000 0.0000
Li 0.0022 0.0022 0.5051
Li 0.3473 0.3473 0.9066
Li 0.6640 0.6640 0.4149
V 0.1598 0.6399 0.2325
V 0.3369 0.3369 0.5174
V 0.6399 0.1598 0.2325
V 0.6496 0.6496 0.0084
V 0.8210 0.8210 0.7488
Ni 0.1723 0.1723 0.2195
Ni 0.3491 0.8362 0.7202
Ni 0.8362 0.3491 0.7202
O 0.0360 0.4908 0.3549
O 0.1763 0.6550 0.6032
O 0.1777 0.1777 0.5965
O 0.3415 0.8183 0.1033
O 0.3416 0.3416 0.1072
O 0.4807 0.4807 0.3521
O 0.4908 0.0360 0.3549
O 0.5325 0.9777 0.8598
O 0.5336 0.5336 0.8597
O 0.6550 0.1763 0.6032
O 0.6881 0.6881 0.6143
O 0.8183 0.3415 0.1033
O 0.8288 0.8288 0.1142
O 0.9777 0.5325 0.8598
O 0.9953 0.9953 0.3106
O 0.9953 0.9953 0.8061

## Properties
Energy relative to the elements, uncorrected ... -188.9 kJ per mole of atoms
Theoretical density ... 4.455 g cm⁻³
N(E_F) ... 10.730 states/eV/f.u.
SG ... Cm, No. 8

Record 19
Compound: Zn2AgSb
Source: the Alexandria database
Functional: GGA-PBEsol
Structure: relaxed

abc: 2.9627 3.8793 6.3027
angles: 90.00 90.13 90.00
Fractional coordinates of all 4 atoms:
Zn 0.0026 0.0000 0.2106
Zn 0.9974 0.0000 0.7894
Ag 0.5000 0.5000 0.0000
Sb 0.5000 0.5000 0.5000

## Properties
Energy relative to the elements, uncorrected ... 12.0 kJ per mole of atoms
Theoretical density ... 8.263 g cm⁻³
N(E_F) ... 1.441 states/eV/f.u.
SG ... P2/m, No. 10

Record 20
Compound: NaPb2IO6
Source: the Alexandria database
Functional: GGA-PBEsol
Structure: relaxed

abc: 5.7613 5.7613 5.7613
angles: 60.00 60.00 60.00
Fractional coordinates of all 10 atoms:
Na 0.0000 0.0000 0.0000
Pb 0.2500 0.2500 0.2500
Pb 0.7500 0.7500 0.7500
I 0.5000 0.5000 0.5000
O 0.2693 0.2693 0.7307
O 0.2693 0.7307 0.2693
O 0.2693 0.7307 0.7307
O 0.7307 0.2693 0.2693
O 0.7307 0.2693 0.7307
O 0.7307 0.7307 0.2693

## Properties
Energy relative to the elements, uncorrected ... -91.8 kJ per mole of atoms
Theoretical density ... 8.108 g cm⁻³
N(E_F) ... 0.000 states/eV/f.u.
SG ... Fm-3m, No. 225

Record 21
Compound: TcPtBr
Source: the Alexandria database
Functional: GGA-PBEsol
Structure: relaxed

abc: 7.4097 7.1054 2.9147
angles: 84.35 72.61 23.05
Fractional coordinates of all 3 atoms:
Tc 0.0000 0.0000 0.0000
Pt 0.3429 0.3429 0.6571
Br 0.6503 0.6503 0.3497

## Properties
Energy relative to the elements, uncorrected ... 63.0 kJ per mole of atoms
Theoretical density ... 12.261 g cm⁻³
N(E_F) ... 3.210 states/eV/f.u.
SG ... Fmm2, No. 42

Record 22
Compound: IrAu2CO
Source: the Alexandria database
Functional: GGA-PBEsol
Structure: relaxed

abc: 5.2307 5.2307 2.6025
angles: 90.00 90.00 90.00
Fractional coordinates of all 5 atoms:
Ir 0.0000 0.0000 0.0000
Au 0.0000 0.5000 0.5000
Au 0.5000 0.0000 0.5000
C 0.5000 0.5000 0.0000
O 0.5000 0.5000 0.5000

## Properties
Energy relative to the elements, uncorrected ... 139.1 kJ per mole of atoms
Theoretical density ... 14.322 g cm⁻³
N(E_F) ... 3.056 states/eV/f.u.
SG ... P4/mmm, No. 123

Number 1: VASP energy -280.90 eV per cell. Number 2: VASP energy -26.22 eV per cell. Number 3: VASP energy -44.09 eV per cell. Number 4: VASP energy -29.56 eV per cell. Number 5: VASP energy -260.37 eV per cell. Number 6: VASP energy -26.87 eV per cell. Number 7: VASP energy -26.62 eV per cell. Number 8: VASP energy -88.12 eV per cell. Number 9: VASP energy -24.87 eV per cell. Number 10: VASP energy -7.06 eV per cell. Number 11: VASP energy -15.09 eV per cell. Number 12: VASP energy -9.21 eV per cell. Number 13: VASP energy -32.91 eV per cell. Number 14: VASP energy -25.48 eV per cell. Number 15: VASP energy -20.09 eV per cell. Number 16: VASP energy -186.23 eV per cell. Number 17: VASP energy -36.03 eV per cell. Number 18: VASP energy -213.31 eV per cell. Number 19: VASP energy -10.54 eV per cell. Number 20: VASP energy -52.18 eV per cell. Number 21: VASP energy -18.14 eV per cell. Number 22: VASP energy -25.36 eV per cell.